# 1
Material: CsHfRh3
Method: DFT, SCAN
State: PBEsol geometry

## Properties
DFT formation energy (eV per atom): 0.6851
DOS at the Fermi energy (states/eV per cell): 3.8

Unit cell a=4.887 b=4.887 c=4.887 alpha=90.00 beta=90.00 gamma=90.00
Last column: magnetic moment on the atom in μB.
Sites, in units of the cell vectors:
1 Cs 0.500 0.500 0.500  -0.01
2 Rh 0.000 0.500 0.000  0.21
3 Rh 0.000 0.000 0.500  0.21
4 Rh 0.500 0.000 0.000  0.21
5 Hf 0.000 0.000 0.000  -0.06

***

# 2
Material: BAuF2
Method: DFT, SCAN
State: PBEsol geometry

## Properties
Total DFT energy (no corrections) (eV per atom): -21.877
DOS at the Fermi energy (states/eV per cell): 0.9

Unit cell a=2.708 b=2.708 c=9.730 alpha=82.00 beta=82.00 gamma=60.00
Last column: magnetic moment on the atom in μB.
Sites, in units of the cell vectors:
1 B 0.000 0.000 0.000  0.21
2 Au 0.500 0.500 0.500  0.00
3 F 0.954 0.954 0.139  0.14
4 F 0.046 0.046 0.861  0.14

***

# 3
Material: LiIn2Ni
Method: DFT, SCAN
State: PBEsol geometry

## Properties
DFT formation energy (eV per atom): -0.1799
DOS at the Fermi energy (states/eV per cell): 1.0

Unit cell a=3.239 b=4.421 c=4.423 alpha=90.00 beta=90.00 gamma=90.00
Sites, in units of the cell vectors:
1 Ni 0.500 0.874 0.500
2 In 0.000 0.875 0.000
3 In 0.000 0.375 0.500
4 Li 0.500 0.376 0.000

***

# 4
Material: MnSbO3
Method: DFT, SCAN
State: PBEsol geometry

## Properties
Total DFT energy (no corrections) (eV per atom): -15.900
DOS at the Fermi energy (states/eV per cell): 1.6

Unit cell a=4.030 b=4.030 c=4.030 alpha=90.00 beta=90.00 gamma=90.00
Last column: magnetic moment on the atom in μB.
Sites, in units of the cell vectors:
1 Sb 0.000 0.000 0.000  0.01
2 Mn 0.500 0.500 0.500  4.71
3 O 0.000 0.500 0.000  0.04
4 O 0.000 0.000 0.500  0.04
5 O 0.500 0.000 0.000  0.04

***

# 5
Material: K2TlTc
Method: DFT, SCAN
State: PBEsol geometry

## Properties
DFT formation energy (eV per atom): 0.8262
ΔE to the lowest computed polymorph (eV per formula unit): 0.00
DOS at the Fermi energy (states/eV per cell): 1.0

Unit cell a=4.188 b=4.237 c=6.451 alpha=109.17 beta=108.94 gamma=90.00
Last column: magnetic moment on the atom in μB.
Sites, in units of the cell vectors:
1 K 0.753 0.753 0.507  -0.02
2 K 0.247 0.247 0.493  -0.02
3 Tc 0.500 0.000 0.000  2.40
4 Tl 0.000 0.500 0.000  -0.13

***

# 6
Material: KVOF3
Method: DFT, SCAN
State: PBEsol geometry

## Properties
Total DFT energy (no corrections) (eV per atom): -10.162
DOS at the Fermi energy (states/eV per cell): 0.0

Unit cell a=7.171 b=7.498 c=13.114 alpha=90.00 beta=90.00 gamma=90.00
Last column: magnetic moment on the atom in μB.
Sites, in units of the cell vectors:
1 K 0.410 0.250 0.106  0.00
2 K 0.910 0.250 0.394  0.00
3 K 0.590 0.750 0.894  0.00
4 K 0.090 0.750 0.606  0.00
5 K 0.673 0.250 0.858  0.00
6 K 0.173 0.250 0.642  0.00
7 K 0.327 0.750 0.142  0.00
8 K 0.827 0.750 0.358  0.00
9 V 0.135 0.997 0.896  1.06
10 V 0.635 0.503 0.604  1.06
11 V 0.865 0.497 0.104  1.06
12 V 0.365 0.003 0.396  1.06
13 V 0.865 0.003 0.104  1.06
14 V 0.365 0.497 0.396  1.06
15 V 0.135 0.503 0.896  1.06
16 V 0.635 0.997 0.604  1.06
17 O 0.122 0.963 0.775  -0.13
18 O 0.622 0.537 0.725  -0.13
19 O 0.878 0.463 0.225  -0.13
20 O 0.378 0.037 0.275  -0.13
21 O 0.878 0.037 0.225  -0.13
22 O 0.378 0.463 0.275  -0.13
23 O 0.122 0.537 0.775  -0.13
24 O 0.622 0.963 0.725  -0.13
25 F 0.067 0.250 0.892  0.01
26 F 0.567 0.250 0.608  0.01
27 F 0.933 0.750 0.108  0.01
28 F 0.433 0.750 0.392  0.01
29 F 0.202 0.750 0.938  0.01
30 F 0.702 0.750 0.562  0.01
31 F 0.798 0.250 0.062  0.01
32 F 0.298 0.250 0.438  0.01
33 F 0.384 0.055 0.919  0.02
34 F 0.884 0.445 0.581  0.02
35 F 0.616 0.555 0.081  0.02
36 F 0.116 0.945 0.419  0.02
37 F 0.616 0.945 0.081  0.02
38 F 0.116 0.555 0.419  0.02
39 F 0.384 0.445 0.919  0.02
40 F 0.884 0.055 0.581  0.02
41 F 0.877 0.963 0.938  0.01
42 F 0.377 0.537 0.562  0.01
43 F 0.123 0.463 0.062  0.01
44 F 0.623 0.037 0.438  0.01
45 F 0.123 0.037 0.062  0.01
46 F 0.623 0.463 0.438  0.01
47 F 0.877 0.537 0.938  0.01
48 F 0.377 0.963 0.562  0.01

***

# 7
Material: TaIn2Sb
Method: DFT, SCAN
State: PBEsol geometry

## Properties
Total DFT energy (no corrections) (eV per atom): -42.429
DOS at the Fermi energy (states/eV per cell): 2.0

Unit cell a=3.734 b=3.730 c=6.135 alpha=90.00 beta=90.00 gamma=90.00
Sites, in units of the cell vectors:
1 In 0.000 0.000 0.995
2 In 0.500 0.500 0.239
3 Sb 0.000 0.000 0.525
4 Ta 0.500 0.500 0.741

***

# 8
Material: Zn2GaIr2
Method: DFT, SCAN
State: PBEsol geometry

## Properties
DFT formation energy (eV per atom): -0.2775
DOS at the Fermi energy (states/eV per cell): 2.6

Unit cell a=3.815 b=6.286 c=6.286 alpha=90.00 beta=90.00 gamma=90.00
Sites, in units of the cell vectors:
1 Zn 0.500 0.154 0.654
2 Zn 0.500 0.654 0.846
3 Zn 0.500 0.846 0.346
4 Zn 0.500 0.346 0.154
5 Ir 0.000 0.354 0.854
6 Ir 0.000 0.854 0.646
7 Ir 0.000 0.646 0.146
8 Ir 0.000 0.146 0.354
9 Ga 0.000 0.000 0.000
10 Ga 0.000 0.500 0.500

***

# 9
Material: La3Au2
Method: DFT, SCAN
State: PBEsol geometry

## Properties
DFT formation energy (eV per atom): -0.8051
DOS at the Fermi energy (states/eV per cell): 3.7

Unit cell a=3.766 b=3.766 c=9.851 alpha=101.02 beta=101.02 gamma=90.00
Sites, in units of the cell vectors:
1 Au 0.100 0.100 0.200
2 Au 0.900 0.900 0.800
3 La 0.500 0.500 0.000
4 La 0.313 0.313 0.626
5 La 0.687 0.687 0.374

***

# 10
Material: Ta2B2Os
Method: DFT, SCAN
State: PBEsol geometry

## Properties
DFT formation energy (eV per atom): -0.6718
ΔE to the lowest computed polymorph (eV per formula unit): 0.06
DOS at the Fermi energy (states/eV per cell): 3.2

Unit cell a=3.497 b=5.805 c=5.805 alpha=90.00 beta=90.00 gamma=90.00
Sites, in units of the cell vectors:
1 B 0.000 0.384 0.884
2 B 0.000 0.884 0.616
3 B 0.000 0.616 0.116
4 B 0.000 0.116 0.384
5 Os 0.000 0.000 0.000
6 Os 0.000 0.500 0.500
7 Ta 0.500 0.176 0.676
8 Ta 0.500 0.676 0.824
9 Ta 0.500 0.824 0.324
10 Ta 0.500 0.324 0.176

***

# 11
Material: Mn2CrPt
Method: DFT, SCAN
State: PBEsol geometry

## Properties
DFT formation energy (eV per atom): -0.4892
DOS at the Fermi energy (states/eV per cell): 1.5

Unit cell a=3.679 b=3.679 c=4.446 alpha=114.44 beta=114.44 gamma=90.00
Last column: magnetic moment on the atom in μB.
Sites, in units of the cell vectors:
1 Cr 0.000 0.000 0.000  -2.98
2 Mn 0.250 0.750 0.500  3.47
3 Mn 0.750 0.250 0.500  3.47
4 Pt 0.500 0.500 0.000  0.11

***

# 12
Material: Zn2OsRh
Method: DFT, SCAN
State: PBEsol geometry

## Properties
DFT formation energy (eV per atom): 0.0480
ΔE to the lowest computed polymorph (eV per formula unit): 0.01
DOS at the Fermi energy (states/eV per cell): 1.9

Unit cell a=2.635 b=4.263 c=4.857 alpha=90.00 beta=93.56 gamma=90.00
Sites, in units of the cell vectors:
1 Os 0.500 0.500 0.000
2 Rh 0.000 0.500 0.500
3 Zn 0.769 0.000 0.747
4 Zn 0.231 0.000 0.253